(1)
# TbDy2YSc2 | Alexandria | GGA-PBE | relaxed
data_TbDy2YSc2
_symmetry_space_group_name_H-M 'P 1'
_symmetry_Int_Tables_number 1
_symmetry_space_group_name_Hall 'P 1'
_cell_length_a 5.450
_cell_length_b 9.407
_cell_length_c 6.864
_cell_angle_alpha 90.00
_cell_angle_beta 90.00
_cell_angle_gamma 90.00
loop_
_atom_site_label
_atom_site_fract_x
_atom_site_fract_y
_atom_site_fract_z
Sc1 0.500 0.833 0.750
Sc2 0.500 0.167 0.250
Dy1 0.000 0.667 0.751
Sc3 0.000 0.667 0.250
Sc4 0.000 0.333 0.750
Tb1 0.000 0.000 0.000
Y1 0.000 0.000 0.500
Dy2 0.500 0.167 0.749
Tb2 0.500 0.500 0.500
Y2 0.500 0.500 0.000
Dy3 0.000 0.333 0.249
Dy4 0.500 0.833 0.251
# Volume (Å³/cell): 351.9



(2)
# Tb2DyY6Sc | Alexandria | GGA-PBE | relaxed
data_Tb2DyY6Sc
_symmetry_space_group_name_H-M 'P 1'
_symmetry_Int_Tables_number 1
_symmetry_space_group_name_Hall 'P 1'
_cell_length_a 8.730
_cell_length_b 9.165
_cell_length_c 9.165
_cell_angle_alpha 119.75
_cell_angle_beta 91.38
_cell_angle_gamma 91.38
loop_
_atom_site_label
_atom_site_fract_x
_atom_site_fract_y
_atom_site_fract_z
Y1 0.206 0.540 0.952
Tb1 0.553 0.211 0.317
Y2 0.794 0.460 0.048
Y3 0.591 0.472 0.734
Y4 0.551 0.794 0.130
Y5 0.294 0.048 0.460
Y6 0.706 0.952 0.540
Y7 0.409 0.528 0.266
Dy1 0.750 0.032 0.968
Y8 0.051 0.130 0.794
Sc1 0.250 0.445 0.555
Tb2 0.447 0.789 0.683
Y9 0.091 0.734 0.472
Sc2 0.750 0.555 0.445
Y10 0.949 0.870 0.206
Tb3 0.947 0.683 0.789
Y11 0.909 0.266 0.528
Y12 0.449 0.206 0.870
Dy2 0.250 0.968 0.032
Tb4 0.053 0.317 0.211
# Volume (Å³/cell): 635.9



(3)
# TbDy6Y2Sc3 | Alexandria | GGA-PBE | relaxed
data_TbDy6Y2Sc3
_symmetry_space_group_name_H-M 'P 1'
_symmetry_Int_Tables_number 1
_symmetry_space_group_name_Hall 'P 1'
_cell_length_a 6.045
_cell_length_b 6.045
_cell_length_c 11.465
_cell_angle_alpha 95.03
_cell_angle_beta 95.03
_cell_angle_gamma 119.96
loop_
_atom_site_label
_atom_site_fract_x
_atom_site_fract_y
_atom_site_fract_z
Y1 0.333 0.667 0.000
Y2 0.667 0.333 0.000
Dy1 0.754 0.754 0.260
Sc1 0.500 0.500 0.500
Sc2 0.167 0.833 0.500
Dy2 0.087 0.420 0.260
Tb1 0.000 0.000 0.000
Dy3 0.246 0.246 0.740
Dy4 0.580 0.913 0.740
Dy5 0.913 0.580 0.740
Sc3 0.833 0.167 0.500
Dy6 0.420 0.087 0.260
# Volume (Å³/cell): 357.3



(4)
# TbDyY2Sc | Alexandria | GGA-PBE | relaxed
data_TbDyY2Sc
_symmetry_space_group_name_H-M 'P 1'
_symmetry_Int_Tables_number 1
_symmetry_space_group_name_Hall 'P 1'
_cell_length_a 7.106
_cell_length_b 8.182
_cell_length_c 6.934
_cell_angle_alpha 126.16
_cell_angle_beta 90.00
_cell_angle_gamma 90.00
loop_
_atom_site_label
_atom_site_fract_x
_atom_site_fract_y
_atom_site_fract_z
Y1 0.000 0.698 0.000
Sc1 0.750 0.001 0.003
Y2 0.000 0.302 0.000
Dy1 0.750 0.733 0.466
Sc2 0.250 0.999 0.997
Dy2 0.250 0.267 0.534
Tb1 0.750 0.268 0.536
Tb2 0.250 0.732 0.464
Y3 0.500 0.302 0.000
Y4 0.500 0.698 0.000
# Volume (Å³/cell): 325.5



(5)
# Tb3DyYSc | Alexandria | GGA-PBE | relaxed
data_Tb3DyYSc
_symmetry_space_group_name_H-M 'P 1'
_symmetry_Int_Tables_number 1
_symmetry_space_group_name_Hall 'P 1'
_cell_length_a 4.980
_cell_length_b 7.837
_cell_length_c 10.507
_cell_angle_alpha 116.41
_cell_angle_beta 90.00
_cell_angle_gamma 90.00
loop_
_atom_site_label
_atom_site_fract_x
_atom_site_fract_y
_atom_site_fract_z
Dy1 0.250 0.628 0.128
Dy2 0.750 0.372 0.872
Tb1 0.250 0.619 0.790
Sc1 0.750 0.878 0.378
Y1 0.250 0.123 0.296
Tb2 0.250 0.633 0.458
Tb3 0.750 0.381 0.210
Tb4 0.750 0.367 0.542
Tb5 0.250 0.125 0.956
Sc2 0.250 0.122 0.622
Tb6 0.750 0.875 0.044
Y2 0.750 0.877 0.704
# Volume (Å³/cell): 367.3



(6)
# Tb2Dy3Y6Sc | Alexandria | GGA-PBE | relaxed
data_Tb2Dy3Y6Sc
_symmetry_space_group_name_H-M 'P 1'
_symmetry_Int_Tables_number 1
_symmetry_space_group_name_Hall 'P 1'
_cell_length_a 6.124
_cell_length_b 6.124
_cell_length_c 11.728
_cell_angle_alpha 94.98
_cell_angle_beta 94.98
_cell_angle_gamma 119.95
loop_
_atom_site_label
_atom_site_fract_x
_atom_site_fract_y
_atom_site_fract_z
Dy1 0.500 0.500 0.500
Y1 0.587 0.918 0.752
Sc1 0.000 0.000 0.000
Tb1 0.333 0.667 0.000
Tb2 0.667 0.333 0.000
Y2 0.413 0.082 0.248
Y3 0.918 0.587 0.752
Dy2 0.834 0.166 0.500
Y4 0.249 0.249 0.752
Y5 0.082 0.413 0.248
Y6 0.751 0.751 0.248
Dy3 0.166 0.834 0.500
# Volume (Å³/cell): 375.3



(7)
# TbDy2Y6Sc | Alexandria | GGA-PBE | relaxed
data_TbDy2Y6Sc
_symmetry_space_group_name_H-M 'P 1'
_symmetry_Int_Tables_number 1
_symmetry_space_group_name_Hall 'P 1'
_cell_length_a 8.731
_cell_length_b 9.150
_cell_length_c 9.150
_cell_angle_alpha 119.60
_cell_angle_beta 91.33
_cell_angle_gamma 91.33
loop_
_atom_site_label
_atom_site_fract_x
_atom_site_fract_y
_atom_site_fract_z
Y1 0.909 0.266 0.527
Sc1 0.250 0.445 0.555
Y2 0.409 0.527 0.266
Dy1 0.054 0.318 0.211
Y3 0.449 0.206 0.870
Tb1 0.750 0.033 0.967
Y4 0.591 0.473 0.734
Dy2 0.554 0.211 0.318
Y5 0.294 0.048 0.460
Y6 0.794 0.460 0.048
Dy3 0.946 0.682 0.789
Y7 0.551 0.794 0.130
Y8 0.091 0.734 0.473
Y9 0.051 0.130 0.794
Y10 0.949 0.870 0.206
Sc2 0.750 0.555 0.445
Y11 0.206 0.540 0.952
Y12 0.706 0.952 0.540
Tb2 0.250 0.967 0.033
Dy4 0.446 0.789 0.682
# Volume (Å³/cell): 634.9



(8)
# Tb2Dy2YSc2 | Alexandria | GGA-PBE | relaxed
data_Tb2Dy2YSc2
_symmetry_space_group_name_H-M 'P 1'
_symmetry_Int_Tables_number 1
_symmetry_space_group_name_Hall 'P 1'
_cell_length_a 3.412
_cell_length_b 8.877
_cell_length_c 8.235
_cell_angle_alpha 118.40
_cell_angle_beta 90.00
_cell_angle_gamma 101.08
loop_
_atom_site_label
_atom_site_fract_x
_atom_site_fract_y
_atom_site_fract_z
Tb1 0.350 0.700 0.094
Y1 0.000 0.000 0.500
Dy1 0.424 0.848 0.763
Sc1 0.788 0.576 0.378
Tb2 0.650 0.300 0.906
Sc2 0.212 0.424 0.622
Dy2 0.576 0.152 0.237
# Volume (Å³/cell): 214.1



no.,calculated total energy (eV/atom)
1,-5.4207
2,-5.7782
3,-5.3017
4,-5.3477
5,-5.1778
6,-5.6508
7,-5.7745
8,-5.2084